<P>
# Nb2VPt PBE relaxed
data_Nb2VPt
_chemical_formula_sum 'Nb6 V3 Pt3'
_cell_length_a 3.0095
_cell_length_b 3.0095
_cell_length_c 25.8127
_cell_angle_alpha 90.00
_cell_angle_beta 90.00
_cell_angle_gamma 120.00
_space_group_name_H-M_alt 'R -3 m'
_space_group_IT_number 166
_space_group_name_Hall '-R 3 2"'
loop_
_atom_site_label
_atom_site_fract_x
_atom_site_fract_y
_atom_site_fract_z
Nb1 0.0000 0.0000 0.2463
V1 0.0000 0.0000 0.5000
Pt1 0.0000 0.0000 0.0000
# Size of the total moment (μB/f.u.): 0.000

=====

<Q>
# Nb2VPt PBE relaxed
data_Nb2VPt
_chemical_formula_sum 'Nb8 V4 Pt4'
_cell_length_a 6.410
_cell_length_b 6.410
_cell_length_c 6.410
_cell_angle_alpha 90.00
_cell_angle_beta 90.00
_cell_angle_gamma 90.00
_space_group_name_H-M_alt 'F m -3 m'
_space_group_IT_number 225
_space_group_name_Hall '-F 4 2 3'
loop_
_atom_site_label
_atom_site_fract_x
_atom_site_fract_y
_atom_site_fract_z
Nb1 0.250 0.250 0.250
V1 0.000 0.000 0.000
Pt1 0.000 0.000 0.500
# Size of the total moment (μB/f.u.): 0.000

=====

Least stable of them? <P>.

=====

<P>
# Nb2VPt PBE relaxed
data_Nb2VPt
_chemical_formula_sum 'Nb8 V4 Pt4'
_cell_length_a 3.812
_cell_length_b 3.812
_cell_length_c 19.573
_cell_angle_alpha 90.00
_cell_angle_beta 90.00
_cell_angle_gamma 90.00
_space_group_name_H-M_alt 'I -4 2 d'
_space_group_IT_number 122
_space_group_name_Hall 'I -4 2bw'
loop_
_atom_site_label
_atom_site_fract_x
_atom_site_fract_y
_atom_site_fract_z
Nb1 0.245 0.250 0.125
V1 0.000 0.000 0.000
Pt1 0.000 0.000 0.500
# Size of the total moment (μB/f.u.): 1.187

=====

<Q>
# Nb2VPt PBE relaxed
data_Nb2VPt
_chemical_formula_sum 'Nb2 V1 Pt1'
_cell_length_a 4.322
_cell_length_b 4.322
_cell_length_c 3.528
_cell_angle_alpha 90.00
_cell_angle_beta 90.00
_cell_angle_gamma 90.00
_space_group_name_H-M_alt 'P 4/m m m'
_space_group_IT_number 123
_space_group_name_Hall '-P 4 2'
loop_
_atom_site_label
_atom_site_fract_x
_atom_site_fract_y
_atom_site_fract_z
Nb1 0.000 0.500 0.000
V1 0.000 0.000 0.500
Pt1 0.500 0.500 0.500
# Size of the total moment (μB/f.u.): 0.001

=====

Least stable of them? <P>.

=====

<P>
# Nb3VPt PBE relaxed
data_Nb3VPt
_chemical_formula_sum 'Nb3 V1 Pt1'
_cell_length_a 4.892
_cell_length_b 4.892
_cell_length_c 4.892
_cell_angle_alpha 90.00
_cell_angle_beta 90.00
_cell_angle_gamma 90.00
_space_group_name_H-M_alt 'P m -3 m'
_space_group_IT_number 221
_space_group_name_Hall '-P 4 2 3'
loop_
_atom_site_label
_atom_site_fract_x
_atom_site_fract_y
_atom_site_fract_z
Nb1 0.000 0.000 0.500
V1 0.500 0.500 0.500
Pt1 0.000 0.000 0.000
# Size of the total moment (μB/f.u.): 3.040

=====

<Q>
# Nb3VPt PBE relaxed
data_Nb3VPt
_chemical_formula_sum 'Nb3 V1 Pt1'
_cell_length_a 4.575
_cell_length_b 4.575
_cell_length_c 4.575
_cell_angle_alpha 90.00
_cell_angle_beta 90.00
_cell_angle_gamma 90.00
_space_group_name_H-M_alt 'P m -3 m'
_space_group_IT_number 221
_space_group_name_Hall '-P 4 2 3'
loop_
_atom_site_label
_atom_site_fract_x
_atom_site_fract_y
_atom_site_fract_z
Nb1 0.000 0.000 0.500
V1 0.000 0.000 0.000
Pt1 0.500 0.500 0.500
# Size of the total moment (μB/f.u.): 0.000

=====

Least stable of them? <P>.

=====

<P>
# NbVPt PBE relaxed
data_NbVPt
_chemical_formula_sum 'Nb1 V1 Pt1'
_cell_length_a 4.4835
_cell_length_b 4.4835
_cell_length_c 2.7260
_cell_angle_alpha 90.00
_cell_angle_beta 90.00
_cell_angle_gamma 120.00
_space_group_name_H-M_alt 'P 3 m 1'
_space_group_IT_number 156
_space_group_name_Hall 'P 3 -2"'
loop_
_atom_site_label
_atom_site_fract_x
_atom_site_fract_y
_atom_site_fract_z
Nb1 0.0000 0.0000 0.0000
V1 0.3333 0.6667 0.7335
Pt1 0.6667 0.3333 0.3842
# Size of the total moment (μB/f.u.): 1.426

=====

<Q>
# NbVPt PBE relaxed
data_NbVPt
_chemical_formula_sum 'Nb4 V4 Pt4'
_cell_length_a 5.547
_cell_length_b 5.237
_cell_length_c 7.376
_cell_angle_alpha 90.00
_cell_angle_beta 110.49
_cell_angle_gamma 90.00
_space_group_name_H-M_alt 'P 1 21/c 1'
_space_group_IT_number 14
_space_group_name_Hall '-P 2ybc'
loop_
_atom_site_label
_atom_site_fract_x
_atom_site_fract_y
_atom_site_fract_z
Nb1 0.217 0.135 0.381
V1 0.426 0.590 0.282
Pt1 0.182 0.654 0.502
# Size of the total moment (μB/f.u.): 0.001

=====

Least stable of them? <Q>.

=====

<P>
# NbVPt4 PBE relaxed
data_NbVPt4
_chemical_formula_sum 'Nb2 V2 Pt8'
_cell_length_a 6.253
_cell_length_b 6.291
_cell_length_c 5.576
_cell_angle_alpha 90.00
_cell_angle_beta 92.30
_cell_angle_gamma 90.00
_space_group_name_H-M_alt 'C 1 2/m 1'
_space_group_IT_number 12
_space_group_name_Hall '-C 2y'
loop_
_atom_site_label
_atom_site_fract_x
_atom_site_fract_y
_atom_site_fract_z
Nb1 0.000 0.000 0.000
V1 0.000 0.500 0.500
Pt1 0.250 0.244 0.743
# Size of the total moment (μB/f.u.): 0.513

=====

<Q>
# NbVPt4 PBE relaxed
data_NbVPt4
_chemical_formula_sum 'Nb1 V1 Pt4'
_cell_length_a 2.795
_cell_length_b 2.795
_cell_length_c 11.915
_cell_angle_alpha 90.00
_cell_angle_beta 90.00
_cell_angle_gamma 90.00
_space_group_name_H-M_alt 'P 4/m m m'
_space_group_IT_number 123
_space_group_name_Hall '-P 4 2'
loop_
_atom_site_label
_atom_site_fract_x
_atom_site_fract_y
_atom_site_fract_z
Nb1 0.000 0.000 0.000
V1 0.500 0.500 0.500
Pt1 0.000 0.000 0.349
Pt2 0.500 0.500 0.167
# Size of the total moment (μB/f.u.): 0.000

=====

Least stable of them? <P>.

=====

<P>
# NbPtW PBE relaxed
data_NbPtW
_chemical_formula_sum 'Nb2 Pt2 W2'
_cell_length_a 3.409
_cell_length_b 3.409
_cell_length_c 8.689
_cell_angle_alpha 90.00
_cell_angle_beta 90.00
_cell_angle_gamma 90.00
_space_group_name_H-M_alt 'I 4 m m'
_space_group_IT_number 107
_space_group_name_Hall 'I 4 -2'
loop_
_atom_site_label
_atom_site_fract_x
_atom_site_fract_y
_atom_site_fract_z
Nb1 0.000 0.000 0.000
Pt1 0.000 0.000 0.328
W1 0.000 0.000 0.663
# Size of the total moment (μB/f.u.): 0.000

=====

<Q>
# NbPtW PBE relaxed
data_NbPtW
_chemical_formula_sum 'Nb2 Pt2 W2'
_cell_length_a 3.791
_cell_length_b 3.791
_cell_length_c 7.276
_cell_angle_alpha 90.00
_cell_angle_beta 90.00
_cell_angle_gamma 90.00
_space_group_name_H-M_alt 'P 4/n m m'
_space_group_IT_number 129
loop_
_space_group_symop_operation_xyz
'x,y,z'
'-x,-y,-z'
'-y+1/2,x,z'
'y+1/2,-x,-z'
'-x+1/2,-y+1/2,z'
'x+1/2,y+1/2,-z'
'y,-x+1/2,z'
'-y,x+1/2,-z'
'x+1/2,-y,-z'
'-x+1/2,y,z'
'-y,-x,-z'
'y,x,z'
'-x,y+1/2,-z'
'x,-y+1/2,z'
'y+1/2,x+1/2,-z'
'-y+1/2,-x+1/2,z'
loop_
_atom_site_label
_atom_site_fract_x
_atom_site_fract_y
_atom_site_fract_z
Nb1 0.250 0.250 0.143
Pt1 0.250 0.250 0.783
W1 0.250 0.750 0.500
# Size of the total moment (μB/f.u.): 0.000

=====

Least stable of them? <P>.

=====

<P>
# NbPtW2 PBE relaxed
data_NbPtW2
_chemical_formula_sum 'Nb4 Pt4 W8'
_cell_length_a 7.356
_cell_length_b 7.356
_cell_length_c 5.336
_cell_angle_alpha 90.00
_cell_angle_beta 90.00
_cell_angle_gamma 90.00
_space_group_name_H-M_alt 'I -4 2 d'
_space_group_IT_number 122
_space_group_name_Hall 'I -4 2bw'
loop_
_atom_site_label
_atom_site_fract_x
_atom_site_fract_y
_atom_site_fract_z
Nb1 0.000 0.000 0.000
Pt1 0.000 0.000 0.500
W1 0.238 0.250 0.625
# Size of the total moment (μB/f.u.): 0.000

=====

<Q>
# NbPtW2 PBE relaxed
data_NbPtW2
_chemical_formula_sum 'Nb4 Pt4 W8'
_cell_length_a 6.417
_cell_length_b 6.417
_cell_length_c 6.417
_cell_angle_alpha 90.00
_cell_angle_beta 90.00
_cell_angle_gamma 90.00
_space_group_name_H-M_alt 'F m -3 m'
_space_group_IT_number 225
_space_group_name_Hall '-F 4 2 3'
loop_
_atom_site_label
_atom_site_fract_x
_atom_site_fract_y
_atom_site_fract_z
Nb1 0.000 0.000 0.000
Pt1 0.000 0.000 0.500
W1 0.250 0.250 0.250
# Size of the total moment (μB/f.u.): 0.000

=====

Least stable of them? <P>.

=====

<P>
# YNb3Pt PBE relaxed
data_YNb3Pt
_chemical_formula_sum 'Y1 Nb3 Pt1'
_cell_length_a 4.833
_cell_length_b 4.833
_cell_length_c 4.833
_cell_angle_alpha 90.00
_cell_angle_beta 90.00
_cell_angle_gamma 90.00
_space_group_name_H-M_alt 'P m -3 m'
_space_group_IT_number 221
_space_group_name_Hall '-P 4 2 3'
loop_
_atom_site_label
_atom_site_fract_x
_atom_site_fract_y
_atom_site_fract_z
Y1 0.000 0.000 0.000
Nb1 0.000 0.000 0.500
Pt1 0.500 0.500 0.500
# Size of the total moment (μB/f.u.): 0.000

=====

<Q>
# YNb3Pt PBE relaxed
data_YNb3Pt
_chemical_formula_sum 'Y1 Nb3 Pt1'
_cell_length_a 4.975
_cell_length_b 4.975
_cell_length_c 4.975
_cell_angle_alpha 90.00
_cell_angle_beta 90.00
_cell_angle_gamma 90.00
_space_group_name_H-M_alt 'P m -3 m'
_space_group_IT_number 221
_space_group_name_Hall '-P 4 2 3'
loop_
_atom_site_label
_atom_site_fract_x
_atom_site_fract_y
_atom_site_fract_z
Y1 0.000 0.000 0.000
Nb1 0.000 0.500 0.500
Pt1 0.500 0.500 0.500
# Size of the total moment (μB/f.u.): 0.007

=====

Least stable of them? <P>.

=====

<P>
# NbZn2Pt2 PBE relaxed
data_NbZn2Pt2
_chemical_formula_sum 'Nb2 Zn4 Pt4'
_cell_length_a 7.484
_cell_length_b 7.484
_cell_length_c 2.826
_cell_angle_alpha 90.00
_cell_angle_beta 90.00
_cell_angle_gamma 90.00
_space_group_name_H-M_alt 'P 4/m b m'
_space_group_IT_number 127
_space_group_name_Hall '-P 4 2ab'
loop_
_atom_site_label
_atom_site_fract_x
_atom_site_fract_y
_atom_site_fract_z
Nb1 0.000 0.000 0.000
Zn1 0.162 0.338 0.500
Pt1 0.137 0.637 0.000
# Size of the total moment (μB/f.u.): 0.000

=====

<Q>
# NbZn2Pt2 PBE relaxed
data_NbZn2Pt2
_chemical_formula_sum 'Nb2 Zn4 Pt4'
_cell_length_a 7.442
_cell_length_b 7.442
_cell_length_c 2.798
_cell_angle_alpha 90.00
_cell_angle_beta 90.00
_cell_angle_gamma 90.00
_space_group_name_H-M_alt 'P 4/m b m'
_space_group_IT_number 127
_space_group_name_Hall '-P 4 2ab'
loop_
_atom_site_label
_atom_site_fract_x
_atom_site_fract_y
_atom_site_fract_z
Nb1 0.000 0.000 0.000
Zn1 0.120 0.380 0.000
Pt1 0.179 0.679 0.500
# Size of the total moment (μB/f.u.): 0.000

=====

<R>
# NbZn2Pt2 PBE relaxed
data_NbZn2Pt2
_chemical_formula_sum 'Nb2 Zn4 Pt4'
_cell_length_a 4.081
_cell_length_b 13.567
_cell_length_c 2.785
_cell_angle_alpha 90.00
_cell_angle_beta 90.00
_cell_angle_gamma 90.00
_space_group_name_H-M_alt 'C m m m'
_space_group_IT_number 65
_space_group_name_Hall '-C 2 2'
loop_
_atom_site_label
_atom_site_fract_x
_atom_site_fract_y
_atom_site_fract_z
Nb1 0.000 0.000 0.000
Zn1 0.000 0.200 0.000
Pt1 0.000 0.392 0.500
# Size of the total moment (μB/f.u.): 0.000

=====

Least stable of them? <P>.

=====

<P>
# Zr3NbPt PBE relaxed
data_Zr3NbPt
_chemical_formula_sum 'Zr3 Nb1 Pt1'
_cell_length_a 5.058
_cell_length_b 5.058
_cell_length_c 5.058
_cell_angle_alpha 90.00
_cell_angle_beta 90.00
_cell_angle_gamma 90.00
_space_group_name_H-M_alt 'P m -3 m'
_space_group_IT_number 221
_space_group_name_Hall '-P 4 2 3'
loop_
_atom_site_label
_atom_site_fract_x
_atom_site_fract_y
_atom_site_fract_z
Zr1 0.000 0.000 0.500
Nb1 0.500 0.500 0.500
Pt1 0.000 0.000 0.000
# Size of the total moment (μB/f.u.): 1.356

=====

<Q>
# Zr3NbPt PBE relaxed
data_Zr3NbPt
_chemical_formula_sum 'Zr3 Nb1 Pt1'
_cell_length_a 4.988
_cell_length_b 4.988
_cell_length_c 4.988
_cell_angle_alpha 90.00
_cell_angle_beta 90.00
_cell_angle_gamma 90.00
_space_group_name_H-M_alt 'P m -3 m'
_space_group_IT_number 221
_space_group_name_Hall '-P 4 2 3'
loop_
_atom_site_label
_atom_site_fract_x
_atom_site_fract_y
_atom_site_fract_z
Zr1 0.000 0.000 0.500
Nb1 0.000 0.000 0.000
Pt1 0.500 0.500 0.500
# Size of the total moment (μB/f.u.): 0.000

=====

Least stable of them? <Q>.

=====

<P>
# ZrNb2Pt2 PBE relaxed
data_ZrNb2Pt2
_chemical_formula_sum 'Zr2 Nb4 Pt4'
_cell_length_a 7.991
_cell_length_b 7.991
_cell_length_c 2.857
_cell_angle_alpha 90.00
_cell_angle_beta 90.00
_cell_angle_gamma 90.00
_space_group_name_H-M_alt 'P 4/m b m'
_space_group_IT_number 127
_space_group_name_Hall '-P 4 2ab'
loop_
_atom_site_label
_atom_site_fract_x
_atom_site_fract_y
_atom_site_fract_z
Zr1 0.000 0.000 0.000
Nb1 0.171 0.329 0.500
Pt1 0.126 0.626 0.000
# Size of the total moment (μB/f.u.): 0.000

=====

<Q>
# ZrNb2Pt2 PBE relaxed
data_ZrNb2Pt2
_chemical_formula_sum 'Zr2 Nb4 Pt4'
_cell_length_a 8.052
_cell_length_b 8.052
_cell_length_c 2.817
_cell_angle_alpha 90.00
_cell_angle_beta 90.00
_cell_angle_gamma 90.00
_space_group_name_H-M_alt 'P 4/m b m'
_space_group_IT_number 127
_space_group_name_Hall '-P 4 2ab'
loop_
_atom_site_label
_atom_site_fract_x
_atom_site_fract_y
_atom_site_fract_z
Zr1 0.000 0.000 0.000
Nb1 0.122 0.378 0.000
Pt1 0.174 0.674 0.500
# Size of the total moment (μB/f.u.): 0.000

=====

Least stable of them? <Q>.

=====

<P>
# Pu2NbRu PBE relaxed
data_Pu2NbRu
_chemical_formula_sum 'Pu2 Nb1 Ru1'
_cell_length_a 3.584
_cell_length_b 3.584
_cell_length_c 5.387
_cell_angle_alpha 90.00
_cell_angle_beta 90.00
_cell_angle_gamma 90.00
_space_group_name_H-M_alt 'P 4/m m m'
_space_group_IT_number 123
_space_group_name_Hall '-P 4 2'
loop_
_atom_site_label
_atom_site_fract_x
_atom_site_fract_y
_atom_site_fract_z
Pu1 0.000 0.500 0.000
Nb1 0.000 0.000 0.500
Ru1 0.500 0.500 0.500
# Size of the total moment (μB/f.u.): 0.922

=====

<Q>
# Pu2NbRu PBE relaxed
data_Pu2NbRu
_chemical_formula_sum 'Pu6 Nb3 Ru3'
_cell_length_a 2.9167
_cell_length_b 2.9167
_cell_length_c 31.8376
_cell_angle_alpha 90.00
_cell_angle_beta 90.00
_cell_angle_gamma 120.00
_space_group_name_H-M_alt 'R -3 m'
_space_group_IT_number 166
_space_group_name_Hall '-R 3 2"'
loop_
_atom_site_label
_atom_site_fract_x
_atom_site_fract_y
_atom_site_fract_z
Pu1 0.0000 0.0000 0.0921
Nb1 0.0000 0.0000 0.0000
Ru1 0.0000 0.0000 0.5000
# Size of the total moment (μB/f.u.): 8.639

=====

Least stable of them? <Q>.